No. 1
# AcCuAg2

A geometry-optimized AcCuAg2 structure (PBE-GGA, Alexandria via LeMat-Bulk). Values from VASP.

Computed properties:
For the density of states at the Fermi level, the calculation gives 1.7 states/eV/f.u. For the total DFT energy (no corrections), the calculation gives -3.668 eV per atom. The formation energy comes out at -0.191 eV/atom. The space group is Cmcm, No. 63. The value obtained for the relative energy among the computed polymorphs is 0 meV/atom.

```
&SYSTEM
  ibrav = 0, nat = 8, ntyp = 3
/
ATOMIC_SPECIES
Ac 227.00 Ac.upf
Cu 63.55 Cu.upf
Ag 107.87 Ag.upf
CELL_PARAMETERS angstrom
2.1017 -10.0049 0.0000
2.1017 10.0049 0.0000
0.0000 0.0000 4.4965
ATOMIC_POSITIONS crystal
Ac 0.1116 0.8884 0.7500
Ac 0.8884 0.1116 0.2500
Cu 0.3287 0.6713 0.7500
Cu 0.6713 0.3287 0.2500
Ag 0.2517 0.7483 0.2500
Ag 0.4597 0.5403 0.7500
Ag 0.5403 0.4597 0.2500
Ag 0.7483 0.2517 0.7500
```

=====

No. 2
# CdHgP2

A geometry-optimized CdHgP2 structure (PBE-GGA, Alexandria via LeMat-Bulk). Values from VASP.

Computed properties:
For the density of states at the Fermi level, the calculation gives 0.9 states/eV/f.u. For the total DFT energy (no corrections), the calculation gives -2.774 eV per atom. The formation energy comes out at 0.235 eV/atom. The space group is P4mm, No. 99. The value obtained for the relative energy among the computed polymorphs is 186 meV/atom.

```
&SYSTEM
  ibrav = 0, nat = 4, ntyp = 3
/
ATOMIC_SPECIES
Cd 112.41 Cd.upf
Hg 200.59 Hg.upf
P 30.97 P.upf
CELL_PARAMETERS angstrom
3.0437 0.0000 0.0000
0.0000 3.0437 0.0000
0.0000 0.0000 9.9665
ATOMIC_POSITIONS crystal
Cd 0.0000 0.0000 0.0000
Hg 0.5000 0.5000 0.3199
P 0.0000 0.0000 0.6286
P 0.5000 0.5000 0.7282
```